No. 1
SrTlPd2: relaxed, PBE.

It has space group Pmma (No. 51), with a = 5.7634 Å, b = 5.6441 Å, c = 13.4649 Å, α = 90.00°, β = 90.00° and γ = 90.00°. The asymmetric unit holds Sr at (0.2500, 0.0000, 0.0815), Sr at (0.2500, 0.5000, 0.4004), Tl at (0.2500, 0.0000, 0.8006), Tl at (0.2500, 0.5000, 0.8218), Pd at (0.0000, 0.0000, 0.5000), Pd at (0.0000, 0.5000, 0.0000) and Pd at (0.2500, 0.2592, 0.6312).

Its formation energy is -0.25 eV per atom. The volume is 27.38 A^3/atom. The calculation puts the total energy at -61.70 eV per cell. Its crystal system is orthorhombic.

***

No. 2
BaAl3: relaxed, PBE.

It has space group Immm (No. 71), with a = 3.1402 Å, b = 6.0300 Å, c = 10.9301 Å, α = 90.00°, β = 90.00° and γ = 90.00°. The asymmetric unit holds Ba at (0.0000, 0.0000, 0.0000), Al at (0.0000, 0.0000, 0.5000) and Al at (0.0000, 0.5000, 0.2114).

Its formation energy is 0.21 eV per atom. The volume is 25.87 A^3/atom. The calculation puts the total energy at -24.61 eV per cell. Its crystal system is orthorhombic.

***

No. 3
SrNi9P4: relaxed, PBE.

It has space group I4/mcm (No. 140), with a = 7.7804 Å, b = 7.7804 Å, c = 11.4734 Å, α = 90.00°, β = 90.00° and γ = 90.00°. The asymmetric unit holds Sr at (0.0000, 0.0000, 0.2500), Ni at (0.0000, 0.5000, 0.0000), Ni at (0.0791, 0.2011, 0.0000), Ni at (0.1360, 0.3640, 0.1891) and P at (0.1671, 0.3329, 0.3801).

Its formation energy is -0.44 eV per atom. The volume is 12.40 A^3/atom. The calculation puts the total energy at -326.08 eV per cell. Its crystal system is tetragonal.